Entry 1:
{
  "formula": "Y2Al4ZnPd3",
  "functional": "PBE",
  "state": "relaxed",
  "n_ef_per_ev_fu": 5.4,
  "e_form_mev_per_atom": -759,
  "magmom_total_mub_per_cell": 0.00,
  "cell": [[-3.759, 1.778, 0.424], [-0.072, -1.111, 4.029], [4.683, 9.271, 2.641]],
  "species": ["Al", "Al", "Al", "Al", "Y", "Y", "Pd", "Pd", "Pd", "Zn"],
  "frac_coords": [[0.000, 0.000, 0.000], [0.000, 0.500, 0.365], [0.500, 0.000, 0.635], [0.500, 0.500, 0.000], [0.500, 0.000, 0.249], [0.000, 0.500, 0.751], [0.000, 0.000, 0.500], [0.500, 0.000, 0.866], [0.000, 0.500, 0.134], [0.500, 0.500, 0.500]]
}

Entry 2:
{
  "formula": "Zn2FeCu",
  "functional": "PBE",
  "state": "relaxed",
  "n_ef_per_ev_fu": 3.5,
  "e_form_mev_per_atom": 89,
  "magmom_total_mub_per_cell": 2.50,
  "cell": [[4.508, -0.093, 0.000], [1.405, 4.284, 0.000], [-2.956, -2.096, 2.682]],
  "species": ["Cu", "Zn", "Zn", "Fe"],
  "frac_coords": [[0.500, 0.500, 0.000], [0.250, 0.750, 0.500], [0.000, 0.000, 0.000], [0.750, 0.250, 0.500]]
}

Entry 3:
{
  "formula": "TiNbNi",
  "functional": "PBE",
  "state": "relaxed",
  "e_above_lowest_polymorph_ev_per_fu": 0.00,
  "n_ef_per_ev_fu": 3.3,
  "e_form_mev_per_atom": -249,
  "magmom_total_mub_per_cell": 0.00,
  "cell": [[8.330, 0.000, 0.000], [0.000, 4.903, 0.000], [0.000, 0.000, 9.027]],
  "species": ["Nb", "Nb", "Nb", "Nb", "Nb", "Nb", "Nb", "Nb", "Ni", "Ni", "Ni", "Ni", "Ni", "Ni", "Ni", "Ni", "Ti", "Ti", "Ti", "Ti", "Ti", "Ti", "Ti", "Ti"],
  "frac_coords": [[0.159, 0.500, 0.500], [0.659, 0.500, 0.000], [0.159, 0.000, 0.000], [0.659, 0.000, 0.500], [0.341, 0.000, 0.500], [0.841, 0.000, 0.000], [0.841, 0.500, 0.500], [0.341, 0.500, 0.000], [0.250, 0.750, 0.250], [0.750, 0.250, 0.750], [0.750, 0.750, 0.750], [0.750, 0.250, 0.250], [0.250, 0.250, 0.250], [0.750, 0.750, 0.250], [0.250, 0.250, 0.750], [0.250, 0.750, 0.750], [0.000, 0.000, 0.344], [0.000, 0.500, 0.844], [0.500, 0.000, 0.156], [0.500, 0.500, 0.656], [0.500, 0.500, 0.344], [0.000, 0.000, 0.656], [0.000, 0.500, 0.156], [0.500, 0.000, 0.844]]
}

Entry 4:
{
  "formula": "PrErBr2",
  "functional": "PBE",
  "state": "relaxed",
  "n_ef_per_ev_fu": 1.6,
  "magmom_total_mub_per_cell": 0.00,
  "e_form_raw_ev_per_atom": -1.06,
  "cell": [[-2.683, 2.436, 0.942], [-2.951, -1.146, 1.999], [3.070, 2.580, 9.516]],
  "species": ["Br", "Br", "Er", "Pr"],
  "frac_coords": [[0.907, 0.907, 0.280], [0.093, 0.093, 0.720], [0.000, 0.000, 0.000], [0.500, 0.500, 0.500]]
}

Entry 5:
{
  "formula": "CePm3Pr3Se8",
  "functional": "PBE",
  "state": "relaxed",
  "n_ef_per_ev_fu": 13.6,
  "magmom_total_mub_per_cell": 1.53,
  "e_form_raw_ev_per_atom": -1.86,
  "cell": [[8.436, 0.000, 0.000], [-4.218, 7.305, -0.026], [0.000, -4.847, 6.919]],
  "species": ["Pr", "Pr", "Pr", "Se", "Se", "Se", "Se", "Se", "Se", "Se", "Se", "Pm", "Pm", "Pm", "Ce"],
  "frac_coords": [[0.000, 0.500, 0.000], [0.000, 0.000, 0.000], [0.500, 0.500, 0.000], [0.256, 0.004, 0.252], [0.748, 0.496, 0.744], [0.744, 0.996, 0.748], [0.252, 0.504, 0.256], [0.252, 0.996, 0.748], [0.252, 0.504, 0.748], [0.748, 0.004, 0.252], [0.748, 0.496, 0.252], [0.500, 0.500, 0.500], [0.500, 0.000, 0.500], [0.000, 0.500, 0.500], [0.000, 0.000, 0.500]]
}

Entry 6:
{
  "formula": "Mg2AlAgH",
  "functional": "PBE",
  "state": "relaxed",
  "e_above_lowest_polymorph_ev_per_fu": 0.00,
  "n_ef_per_ev_fu": 2.7,
  "magmom_total_mub_per_cell": 0.00,
  "cell": [[4.465, 0.000, 0.000], [0.000, 4.465, 0.000], [0.000, 0.000, 3.885]],
  "species": ["H", "Mg", "Mg", "Al", "Ag"],
  "frac_coords": [[0.000, 0.000, 0.000], [0.500, 0.000, 0.000], [0.000, 0.500, 0.000], [0.000, 0.000, 0.500], [0.500, 0.500, 0.500]]
}

Entry 7:
{
  "formula": "TePdCl",
  "functional": "PBE",
  "state": "relaxed",
  "n_ef_per_ev_fu": 1.7,
  "magmom_total_mub_per_cell": 0.00,
  "e_form_raw_ev_per_atom": -0.35,
  "cell": [[3.698, 0.000, 0.000], [-1.849, 3.202, 0.000], [0.000, 0.000, 6.255]],
  "species": ["Cl", "Te", "Pd"],
  "frac_coords": [[0.000, 0.000, 0.089], [0.333, 0.667, 0.583], [0.667, 0.333, 0.328]]
}

Entry 8:
{
  "formula": "UCrB",
  "functional": "PBE",
  "state": "relaxed",
  "e_above_lowest_polymorph_ev_per_fu": 0.62,
  "n_ef_per_ev_fu": 2.8,
  "e_form_mev_per_atom": -2,
  "magmom_total_mub_per_cell": 0.00,
  "cell": [[-1.225, -2.316, 1.354], [1.727, 0.458, 2.347], [-3.344, 3.591, -0.094]],
  "species": ["B", "Cr", "U"],
  "frac_coords": [[0.572, 0.572, 0.144], [0.008, 0.008, 0.016], [0.270, 0.270, 0.539]]
}